DFT (PBE) results for GdThSnTe after structural relaxation.

## Properties
The value obtained for the uncorrected formation energy is -3.18 eV/f.u. As for the uncorrected energy: -31.8 eV per cell. The calculation puts the total magnetization at 7.85 μB per formula unit. The crystal system is cubic. As for the density of states at the Fermi level: 0.84 states/eV per atom.

Unit cell a=5.443 b=5.443 c=5.443 alpha=60.00 beta=60.00 gamma=60.00
Last column: magnetic moment on the atom in μB.
Atoms (fractional coordinates):
Gd 0.500 0.500 0.500  7.21
Te 0.750 0.750 0.750  -0.02
Sn 0.250 0.250 0.250  -0.03
Th 0.000 0.000 0.000  0.20

---

DFT (PBE) results for TbSm5S6 after structural relaxation.

## Properties
The value obtained for the uncorrected formation energy is -24.29 eV/f.u. As for the uncorrected energy: -77.3 eV per cell. The calculation puts the total magnetization at 0.00 μB per formula unit. The crystal system is monoclinic. As for the density of states at the Fermi level: 0.37 states/eV per atom.

Unit cell a=6.912 b=6.918 c=6.932 alpha=60.07 beta=80.33 gamma=70.32
Atoms (fractional coordinates):
S 0.753 0.082 0.329
S 0.247 0.589 0.329
S 0.248 0.246 0.000
S 0.752 0.754 0.000
S 0.753 0.411 0.671
S 0.247 0.918 0.671
Tb 0.000 0.000 0.000
Sm 0.500 0.169 0.662
Sm 0.000 0.333 0.334
Sm 0.500 0.500 0.000
Sm 0.000 0.667 0.666
Sm 0.500 0.831 0.338

---

DFT (PBE) results for Er2ZrPt9 after structural relaxation.

## Properties
As for the uncorrected energy: -85.0 eV per cell. The value obtained for the energy relative to the elements is -1.080 eV per atom. The calculation puts the total magnetization at 0.00 μB per formula unit. The crystal system is tetragonal. As for the density of states at the Fermi level: 0.66 states/eV per atom.

Unit cell a=4.083 b=4.083 c=12.254 alpha=90.00 beta=90.00 gamma=90.00
Atoms (fractional coordinates):
Er 0.000 0.000 0.334
Er 0.000 0.000 0.666
Zr 0.000 0.000 0.000
Pt 0.500 0.500 0.000
Pt 0.500 0.500 0.331
Pt 0.500 0.500 0.669
Pt 0.500 0.000 0.162
Pt 0.500 0.000 0.500
Pt 0.500 0.000 0.838
Pt 0.000 0.500 0.162
Pt 0.000 0.500 0.500
Pt 0.000 0.500 0.838

---

DFT (PBE) results for GePb2N after structural relaxation.

## Properties
The value obtained for the uncorrected formation energy is 4.15 eV/f.u. As for the uncorrected energy: -16.2 eV per cell. The calculation puts the total magnetization at 1.06 μB per formula unit. The crystal system is cubic. As for the density of states at the Fermi level: 0.57 states/eV per atom.

Unit cell a=4.962 b=4.962 c=4.962 alpha=60.00 beta=60.00 gamma=60.00
Last column: magnetic moment on the atom in μB.
Atoms (fractional coordinates):
Pb 0.250 0.250 0.250  -0.04
Pb 0.750 0.750 0.750  -0.04
Ge 0.500 0.500 0.500  0.07
N 0.000 0.000 0.000  0.75

---

DFT (PBE) results for Pr10NdEr6 after structural relaxation.

## Properties
As for the uncorrected energy: -77.7 eV per cell. The value obtained for the energy relative to the elements is 0.131 eV per atom. The calculation puts the total magnetization at 0.00 μB per formula unit. The crystal system is trigonal. As for the density of states at the Fermi level: 1.56 states/eV per atom.

Unit cell a=6.953 b=9.908 c=9.908 alpha=120.00 beta=90.00 gamma=90.00
Atoms (fractional coordinates):
Pr 0.821 0.722 0.722
Pr 0.821 0.000 0.278
Pr 0.821 0.278 0.000
Pr 0.179 0.278 0.278
Pr 0.179 0.000 0.722
Pr 0.179 0.722 0.000
Pr 0.500 0.333 0.667
Pr 0.500 0.667 0.333
Pr 0.000 0.667 0.333
Pr 0.000 0.333 0.667
Nd 0.500 0.000 0.000
Er 0.684 0.367 0.367
Er 0.684 0.000 0.633
Er 0.684 0.633 0.000
Er 0.316 0.633 0.633
Er 0.316 0.000 0.367
Er 0.316 0.367 0.000

---

DFT (PBE) results for Ga6Cu after structural relaxation.

## Properties
As for the uncorrected energy: -44.6 eV per cell. The value obtained for the energy relative to the elements is -0.008 eV per atom. The calculation puts the total magnetization at 0.00 μB per formula unit. The crystal system is orthorhombic. As for the density of states at the Fermi level: 0.32 states/eV per atom.

Unit cell a=5.678 b=5.678 c=7.828 alpha=90.00 beta=90.00 gamma=85.71
Atoms (fractional coordinates):
Ga 0.314 0.686 0.000
Ga 0.686 0.314 0.500
Ga 0.686 0.314 0.000
Ga 0.314 0.686 0.500
Ga 0.170 0.170 0.985
Ga 0.830 0.830 0.485
Ga 0.170 0.170 0.515
Ga 0.830 0.830 0.015
Ga 0.521 0.942 0.750
Ga 0.479 0.058 0.250
Ga 0.942 0.521 0.750
Ga 0.058 0.479 0.250
Cu 0.386 0.386 0.750
Cu 0.614 0.614 0.250

---

- What is the formula in the sixth record?
  Ga6Cu

---

- What is the formula in the third record?
  Er2ZrPt9

---

- Look up the total magnetization of the first one.
  7.85 μB per formula unit

---

- What is the uncorrected energy in the fourth record?
  -16.2 eV per cell